(1)
NbCl | PBE | relaxed

Properties
- Uncorrected formation energy: 0.725 eV per atom
- ρ: 6.21 g/cm³

Cell: 3.649 3.649 3.649 Å, 60.00 60.00 60.00°
Positions (direct):
Nb  0.000  0.000  0.000
Cl  0.500  0.500  0.500

(2)
Co2Ni5 | PBE | relaxed

Properties
- Energy above the lowest structure with this stoichiometry: 0.0 meV per atom
- Formation energy: 0.005 eV per atom
- ρ: 8.95 g/cm³

Cell: 5.923 5.923 6.404 Å, 93.07 93.07 42.87°
Positions (direct):
Co  0.093  0.765  0.893
Co  0.235  0.907  0.607
Co  0.765  0.093  0.393
Co  0.907  0.235  0.107
Ni  0.049  0.380  0.822
Ni  0.194  0.524  0.536
Ni  0.335  0.665  0.250
Ni  0.380  0.049  0.322
Ni  0.476  0.806  0.964
Ni  0.524  0.194  0.036
Ni  0.620  0.951  0.678
Ni  0.665  0.335  0.750
Ni  0.806  0.476  0.464
Ni  0.951  0.620  0.178

(3)
BaFe2I2Br6 | PBE | relaxed

Properties
- Uncorrected formation energy: -0.856 eV per atom
- ρ: 3.21 g/cm³

Cell: 7.265 7.265 11.099 Å, 90.00 90.00 120.00°
Positions (direct):
Ba  0.000  0.000  0.000
Fe  0.333  0.667  0.757
Fe  0.667  0.333  0.243
I  0.333  0.667  0.533
I  0.667  0.333  0.467
Br  0.008  0.636  0.828
Br  0.364  0.372  0.828
Br  0.372  0.008  0.172
Br  0.628  0.992  0.828
Br  0.636  0.628  0.172
Br  0.992  0.364  0.172

(4)
CsY3Mn | PBE | relaxed

Properties
- Energy above the lowest structure with this stoichiometry: 0.0 meV per atom
- Formation energy: 0.482 eV per atom
- ρ: 4.38 g/cm³

Cell: 5.563 5.563 5.563 Å, 90.00 90.00 90.00°
Positions (direct):
Cs  0.000  0.000  0.000
Y  0.000  0.500  0.500
Y  0.500  0.000  0.500
Y  0.500  0.500  0.000
Mn  0.500  0.500  0.500

(5)
LiCaFe2B | PBE | relaxed

Properties
- Formation energy: 2.034 eV per atom
- ρ: 2.57 g/cm³

Cell: 4.794 4.794 4.758 Å, 90.00 90.00 90.00°
Positions (direct):
Li  0.000  0.000  0.000
Ca  0.500  0.500  0.500
Fe  0.000  0.500  0.500
Fe  0.500  0.000  0.500
B  0.500  0.500  0.000

(6)
MgMn2Cl | PBE | relaxed

Properties
- Energy above the lowest structure with this stoichiometry: 334.9 meV per atom
- Uncorrected formation energy: 0.211 eV per atom
- ρ: 3.90 g/cm³

Cell: 5.312 5.312 5.112 Å, 112.56 112.56 33.12°
Positions (direct):
Mg  0.000  0.000  0.000
Mn  0.540  0.540  0.514
Mn  0.799  0.799  0.365
Cl  0.234  0.234  0.854